Record 1
Below is La2TaOs after structural relaxation, with properties calculated at the PBE-GGA level.

Values from the calculation:
Energy of formation from the pure elements   0.19 eV/atom
Raw total energy   -64.33 eV per cell

a b c (Å): 17.302 3.297 4.138
angles (deg): 90.00 103.76 90.00
Fractional positions:
La (0.152, 0.000, 0.152)
La (0.348, 0.500, 0.848)
La (0.652, 0.500, 0.152)
La (0.848, 0.000, 0.848)
Ta (0.000, 0.000, 0.500)
Ta (0.500, 0.500, 0.500)
Os (0.000, 0.500, 0.000)
Os (0.500, 0.000, 0.000)



Record 2
Below is La2TaOs after structural relaxation, with properties calculated at the PBE-GGA level.

Values from the calculation:
Energy of formation from the pure elements   0.57 eV/atom
Raw total energy   -61.34 eV per cell

a b c (Å): 6.100 9.987 3.161
angles (deg): 90.00 114.25 90.00
Fractional positions:
La (0.250, 0.250, 0.000)
La (0.250, 0.750, 0.000)
La (0.750, 0.250, 0.000)
La (0.750, 0.750, 0.000)
Ta (0.000, 0.000, 0.500)
Ta (0.500, 0.500, 0.500)
Os (0.000, 0.500, 0.500)
Os (0.500, 0.000, 0.500)



Record 3
Below is La2TbOs after structural relaxation, with properties calculated at the PBE-GGA level.

Values from the calculation:
Energy of formation from the pure elements   -0.13 eV/atom
Raw total energy   -105.01 eV per cell

a b c (Å): 4.124 12.247 9.391
angles (deg): 90.00 90.00 90.00
Fractional positions:
La (0.000, 0.142, 0.070)
La (0.000, 0.142, 0.430)
La (0.000, 0.858, 0.570)
La (0.000, 0.858, 0.930)
La (0.500, 0.358, 0.570)
La (0.500, 0.358, 0.930)
La (0.500, 0.642, 0.070)
La (0.500, 0.642, 0.430)
Tb (0.000, 0.418, 0.250)
Tb (0.000, 0.582, 0.750)
Tb (0.500, 0.082, 0.750)
Tb (0.500, 0.918, 0.250)
Os (0.000, 0.241, 0.750)
Os (0.000, 0.759, 0.250)
Os (0.500, 0.259, 0.250)
Os (0.500, 0.741, 0.750)